Below is SrAlIO6 after structural relaxation, with properties calculated at the GGA-PBE level.

Structure (POSCAR):
```
SrAlIO6
1.0
5.0931 0.0000 0.0000
-2.5466 4.4108 0.0000
0.0000 0.0000 10.9378
Sr Al I O
2 2 2 12
direct
0.0000 0.0000 0.0000 Sr
0.0000 0.0000 0.5000 Sr
0.3333 0.6667 0.2500 Al
0.6667 0.3333 0.7500 Al
0.3333 0.6667 0.7500 I
0.6667 0.3333 0.2500 I
0.0033 0.3828 0.6517 O
0.0033 0.6205 0.8483 O
0.3795 0.3828 0.8483 O
0.3795 0.9967 0.6517 O
0.3828 0.0033 0.1517 O
0.3828 0.3795 0.3483 O
0.6172 0.6205 0.6517 O
0.6172 0.9967 0.8483 O
0.6205 0.0033 0.3483 O
0.6205 0.6172 0.1517 O
0.9967 0.3795 0.1517 O
0.9967 0.6172 0.3483 O
```

SG = P-31c (163)
raw formation energy = -1794 meV per atom

Below is Tl2NiAs after structural relaxation, with properties calculated at the GGA-PBE level.

Structure (POSCAR):
```
Tl2NiAs
1.0
3.1945 0.0000 0.0000
0.0000 3.1945 0.0000
0.0000 0.0000 8.9890
Tl Ni As
2 1 1
direct
0.0000 0.0000 0.0000 Tl
0.5000 0.5000 0.3452 Tl
0.5000 0.5000 0.7466 Ni
0.0000 0.0000 0.6434 As
```

SG = P4mm (99)
formation energy from the elements = 0.02 eV per atom
energy above the lowest structure with this stoichiometry = 0.104 eV per atom

Below is BeSb2Ru after structural relaxation, with properties calculated at the GGA-PBE level.

Structure (POSCAR):
```
BeSb2Ru
1.0
-1.6647 1.8543 6.4101
1.6647 -1.8543 6.4101
1.6647 1.8543 -6.4101
Be Sb Ru
1 2 1
direct
0.0000 0.0000 0.0000 Be
0.4516 0.4516 0.0000 Sb
0.7166 0.2166 0.5000 Sb
0.1174 0.6174 0.5000 Ru
```

SG = Imm2 (44)
energy above the lowest structure with this stoichiometry = 0.167 eV per atom
raw formation energy = 99 meV per atom

Below is SiIr2Cl after structural relaxation, with properties calculated at the GGA-PBE level.

Structure (POSCAR):
```
SiIr2Cl
1.0
2.8947 0.0000 0.0000
0.0000 2.8947 0.0000
0.0000 0.0000 7.6198
Si Ir Cl
1 2 1
direct
0.0000 0.0000 0.0000 Si
0.0000 0.0000 0.5573 Ir
0.5000 0.5000 0.8107 Ir
0.5000 0.5000 0.3214 Cl
```

SG = P4mm (99)
energy above the lowest structure with this stoichiometry = 0.663 eV per atom
raw formation energy = 439 meV per atom

Below is HoThCoPt after structural relaxation, with properties calculated at the GGA-PBE level.

Structure (POSCAR):
```
HoThCoPt
1.0
0.0000 3.4982 3.4982
3.4982 0.0000 3.4982
3.4982 3.4982 0.0000
Ho Th Co Pt
1 1 1 1
direct
0.0000 0.0000 0.0000 Ho
0.5000 0.5000 0.5000 Th
0.2500 0.2500 0.2500 Co
0.7500 0.7500 0.7500 Pt
```

SG = F-43m (216)
formation energy from the elements = -0.60 eV per atom
energy above the lowest structure with this stoichiometry = 0.186 eV per atom

Below is PmY4Er5 after structural relaxation, with properties calculated at the GGA-PBE level.

Structure (POSCAR):
```
PmY4Er5
1.0
3.5449 0.0000 0.0000
0.0115 7.0902 0.0000
1.7704 1.7642 12.5276
Pm Y Er
1 4 5
direct
0.0000 0.0000 0.0000 Pm
0.3983 0.2003 0.2026 Y
0.3993 0.6977 0.2024 Y
0.6007 0.3023 0.7976 Y
0.6017 0.7997 0.7974 Y
0.0000 0.5000 0.0000 Er
0.2014 0.1012 0.5973 Er
0.2010 0.6005 0.5977 Er
0.7990 0.3995 0.4023 Er
0.7986 0.8988 0.4027 Er
```

SG = P-1 (2)
formation energy from the elements = 0.02 eV per atom
energy above the lowest structure with this stoichiometry = 0.000 eV per atom

Below is TcSbPb2 after structural relaxation, with properties calculated at the GGA-PBE level.

Structure (POSCAR):
```
TcSbPb2
1.0
4.5719 0.0000 0.0000
0.0000 2.0864 5.3635
0.0000 -2.0864 5.3635
Tc Sb Pb
1 1 2
direct
0.0000 0.0000 0.0000 Tc
0.5000 0.8691 0.8691 Sb
0.0000 0.2858 0.2858 Pb
0.5000 0.5852 0.5852 Pb
```

SG = Amm2 (38)
raw formation energy = 431 meV per atom

Below is YMgCu after structural relaxation, with properties calculated at the GGA-PBE level.

Structure (POSCAR):
```
YMgCu
1.0
7.7905 0.0000 0.0000
-3.8952 6.7468 0.0000
0.0000 0.0000 3.8588
Y Mg Cu
3 3 3
direct
0.0000 0.7322 0.0000 Y
0.2678 0.2678 0.0000 Y
0.7322 0.0000 0.0000 Y
0.0000 0.3932 0.5000 Mg
0.3932 0.0000 0.5000 Mg
0.6068 0.6068 0.5000 Mg
0.0000 0.0000 0.5000 Cu
0.3333 0.6667 0.0000 Cu
0.6667 0.3333 0.0000 Cu
```

SG = P-62m (189)
formation energy from the elements = -0.06 eV per atom
energy above the lowest structure with this stoichiometry = 0.155 eV per atom

Below is InGe2As2 after structural relaxation, with properties calculated at the GGA-PBE level.

Structure (POSCAR):
```
InGe2As2
1.0
7.8851 0.0000 0.0000
0.0000 7.8851 0.0000
0.0000 0.0000 3.5119
In Ge As
2 4 4
direct
0.0000 0.0000 0.0000 In
0.5000 0.5000 0.0000 In
0.1376 0.3624 0.5000 Ge
0.3624 0.8624 0.5000 Ge
0.6376 0.1376 0.5000 Ge
0.8624 0.6376 0.5000 Ge
0.1428 0.6428 0.0000 As
0.3572 0.1428 0.0000 As
0.6428 0.8572 0.0000 As
0.8572 0.3572 0.0000 As
```

SG = P4/mbm (127)
formation energy from the elements = 0.22 eV per atom
energy above the lowest structure with this stoichiometry = 0.086 eV per atom

Below is CeMgTl after structural relaxation, with properties calculated at the GGA-PBE level.

Structure (POSCAR):
```
CeMgTl
1.0
0.0000 3.6043 3.6043
3.6043 0.0000 3.6043
3.6043 3.6043 0.0000
Ce Mg Tl
1 1 1
direct
0.0000 0.0000 0.0000 Ce
0.5000 0.5000 0.5000 Mg
0.2500 0.2500 0.2500 Tl
```

SG = F-43m (216)
formation energy from the elements = -0.06 eV per atom

Below is TaSeIBr2 after structural relaxation, with properties calculated at the GGA-PBE level.

Structure (POSCAR):
```
TaSeIBr2
1.0
5.6464 0.0000 0.0000
0.0000 5.6464 0.0000
0.0000 0.0000 5.5037
Ta Se I Br
1 1 1 2
direct
0.0000 0.0000 0.0000 Ta
0.5000 0.5000 0.0000 Se
0.5000 0.5000 0.5000 I
0.0000 0.5000 0.5000 Br
0.5000 0.0000 0.5000 Br
```

SG = P4/mmm (123)
energy above the lowest structure with this stoichiometry = 1.581 eV per atom
raw formation energy = 1440 meV per atom

Below is Bi3OsRu after structural relaxation, with properties calculated at the GGA-PBE level.

Structure (POSCAR):
```
Bi3OsRu
1.0
5.2401 0.0000 0.0000
0.0000 5.2401 0.0000
0.0000 0.0000 5.2401
Bi Os Ru
3 1 1
direct
0.0000 0.0000 0.5000 Bi
0.0000 0.5000 0.0000 Bi
0.5000 0.0000 0.0000 Bi
0.0000 0.0000 0.0000 Os
0.5000 0.5000 0.5000 Ru
```

SG = Pm-3m (221)
formation energy from the elements = 1.39 eV per atom

Below is NdScHgRh after structural relaxation, with properties calculated at the GGA-PBE level.

Structure (POSCAR):
```
NdScHgRh
1.0
0.0000 3.5483 3.5483
3.5483 0.0000 3.5483
3.5483 3.5483 0.0000
Nd Sc Hg Rh
1 1 1 1
direct
0.0000 0.0000 0.0000 Nd
0.5000 0.5000 0.5000 Sc
0.7500 0.7500 0.7500 Hg
0.2500 0.2500 0.2500 Rh
```

SG = F-43m (216)
formation energy from the elements = -0.51 eV per atom

Below is Ce2Ho5Co4 after structural relaxation, with properties calculated at the GGA-PBE level.

Structure (POSCAR):
```
Ce2Ho5Co4
1.0
10.8701 -1.7011 0.0000
10.8701 1.7011 0.0000
-0.8994 0.0000 7.0058
Ce Ho Co
2 5 4
direct
0.0731 0.0731 0.1189 Ce
0.9269 0.9269 0.8811 Ce
0.1479 0.1479 0.6139 Ho
0.2219 0.2219 0.1718 Ho
0.5000 0.5000 0.5000 Ho
0.7781 0.7781 0.8282 Ho
0.8521 0.8521 0.3861 Ho
0.0477 0.0477 0.8079 Co
0.3481 0.3481 0.0845 Co
0.6519 0.6519 0.9155 Co
0.9523 0.9523 0.1921 Co
```

SG = C2/m (12)
formation energy from the elements = 0.03 eV per atom

Below is Si4P5 after structural relaxation, with properties calculated at the GGA-PBE level.

Structure (POSCAR):
```
Si4P5
1.0
6.8985 0.0000 0.0000
-3.4492 5.9743 0.0000
0.0000 0.0000 6.6914
Si P
8 10
direct
0.0000 0.0000 0.0000 Si
0.0000 0.0000 0.5000 Si
0.0000 0.4223 0.2500 Si
0.0000 0.5777 0.7500 Si
0.4223 0.0000 0.2500 Si
0.4223 0.4223 0.7500 Si
0.5777 0.0000 0.7500 Si
0.5777 0.5777 0.2500 Si
0.0000 0.2456 0.7500 P
0.0000 0.7544 0.2500 P
0.2456 0.0000 0.7500 P
0.2456 0.2456 0.2500 P
0.3333 0.6667 0.0000 P
0.3333 0.6667 0.5000 P
0.6667 0.3333 0.0000 P
0.6667 0.3333 0.5000 P
0.7544 0.0000 0.2500 P
0.7544 0.7544 0.7500 P
```

SG = P6_3/mcm (193)
energy above the lowest structure with this stoichiometry = 0.000 eV per atom
raw formation energy = 348 meV per atom

Below is La4OsPtI2 after structural relaxation, with properties calculated at the GGA-PBE level.

Structure (POSCAR):
```
La4OsPtI2
1.0
7.4150 0.0000 0.0000
0.0000 4.2819 0.0000
-2.4690 0.0000 8.2330
La Os Pt I
4 1 1 2
direct
0.2184 0.0000 0.1877 La
0.2590 0.5000 0.8152 La
0.7410 0.5000 0.1848 La
0.7816 0.0000 0.8123 La
0.0000 0.5000 0.0000 Os
0.5000 0.0000 0.0000 Pt
0.0000 0.0000 0.5000 I
0.5000 0.5000 0.5000 I
```

SG = P2/m (10)
raw formation energy = -1002 meV per atom

Below is MgPb3 after structural relaxation, with properties calculated at the GGA-PBE level.

Structure (POSCAR):
```
MgPb3
1.0
4.8906 0.0000 0.0000
0.0000 4.8906 0.0000
0.0000 0.0000 4.8906
Mg Pb
1 3
direct
0.0000 0.0000 0.0000 Mg
0.0000 0.5000 0.5000 Pb
0.5000 0.0000 0.5000 Pb
0.5000 0.5000 0.0000 Pb
```

SG = Pm-3m (221)
formation energy from the elements = 0.01 eV per atom

Below is DyAlB14 after structural relaxation, with properties calculated at the GGA-PBE level.

Structure (POSCAR):
```
DyAlB14
1.0
-2.9560 5.2439 4.1253
2.9560 -5.2439 4.1253
2.9560 5.2439 -4.1253
Dy Al B
2 2 28
direct
0.3998 0.1498 0.2500 Dy
0.6002 0.8502 0.7500 Dy
0.0000 0.0000 0.5000 Al
0.0000 0.5000 0.0000 Al
0.0155 0.8731 0.1425 B
0.0314 0.2040 0.3319 B
0.0314 0.6996 0.8274 B
0.0770 0.6666 0.4104 B
0.2009 0.5336 0.6673 B
0.2230 0.4998 0.3985 B
0.2230 0.8246 0.7232 B
0.2306 0.8731 0.3575 B
0.2437 0.3334 0.9104 B
0.3664 0.5336 0.8327 B
0.3721 0.2040 0.6726 B
0.3721 0.6996 0.1681 B
0.3986 0.1754 0.8985 B
0.3986 0.5002 0.2232 B
0.6014 0.4998 0.7768 B
0.6014 0.8246 0.1015 B
0.6279 0.3004 0.8319 B
0.6279 0.7960 0.3274 B
0.6336 0.4664 0.1673 B
0.7563 0.6666 0.0896 B
0.7694 0.1269 0.6425 B
0.7770 0.1754 0.2768 B
0.7770 0.5002 0.6015 B
0.7991 0.4664 0.3327 B
0.9230 0.3334 0.5896 B
0.9686 0.3004 0.1726 B
0.9686 0.7960 0.6681 B
0.9845 0.1269 0.8575 B
```

SG = Imma (74)
formation energy from the elements = -0.16 eV per atom

Below is BaSiMo2Rh after structural relaxation, with properties calculated at the GGA-PBE level.

Structure (POSCAR):
```
BaSiMo2Rh
1.0
4.7416 0.0000 0.0000
0.0000 4.7416 0.0000
0.0000 0.0000 4.6810
Ba Si Mo Rh
1 1 2 1
direct
0.0000 0.0000 0.0000 Ba
0.5000 0.5000 0.5000 Si
0.0000 0.5000 0.5000 Mo
0.5000 0.0000 0.5000 Mo
0.5000 0.5000 0.0000 Rh
```

SG = P4/mmm (123)
raw formation energy = 725 meV per atom